w) Entry from Alexandria: crystalline SmHoC at its relaxed geometry (PBE).

POSCAR file:
```
SmHoC
1.0
-0.006 -1.230 -3.401
5.991 -1.733 0.617
-2.845 -4.747 3.644
Ho Sm C
2 2 2
direct
0.895 0.132 0.790
0.105 0.868 0.210
0.612 0.371 0.225
0.388 0.629 0.775
0.000 0.500 0.000
0.500 0.000 0.000
```

Results
V	142.5	Å³/cell
total moment	0.306	μB per formula unit
SG	C2/m


x) Entry from Alexandria: crystalline SmHoC at its relaxed geometry (PBE).

POSCAR file:
```
SmHoC
1.0
3.594 0.000 0.000
-1.797 3.113 0.000
0.000 0.000 6.392
Sm Ho C
1 1 1
direct
0.000 0.000 0.115
0.333 0.667 0.544
0.667 0.333 0.341
```

Results
V	71.5	Å³/cell
total moment	0.001	μB per formula unit
SG	P3m1


Which of them is most stable, and which least? Most stable: w); least stable: x).